! PBE-GGA Mg2H3F, relaxed; values from VASP
&SYSTEM
  ibrav = 0, nat = 12, ntyp = 3
/
ATOMIC_SPECIES
F 19.00 F.upf
H 1.01 H.upf
Mg 24.30 Mg.upf
ATOMIC_POSITIONS crystal
F 0.661 0.379 0.299
H 0.293 0.045 0.369
Mg 0.332 0.820 0.515
H 0.958 0.706 0.379
H 0.343 0.368 0.946
H 0.657 0.632 0.054
Mg 0.851 0.480 0.819
H 0.042 0.294 0.621
Mg 0.668 0.180 0.485
H 0.707 0.955 0.631
Mg 0.149 0.520 0.181
F 0.339 0.621 0.701
CELL_PARAMETERS angstrom
-0.216 1.692 2.500
-5.188 -3.607 3.826
5.168 -3.014 4.317
! Energy above the lowest structure with this stoichiometry (meV/atom): 16

=====

! PBE-GGA MgHNF2, relaxed; values from VASP
&SYSTEM
  ibrav = 0, nat = 5, ntyp = 4
/
ATOMIC_SPECIES
H 1.01 H.upf
Mg 24.30 Mg.upf
F 19.00 F.upf
N 14.01 N.upf
ATOMIC_POSITIONS crystal
H 0.000 0.000 0.000
Mg 0.500 0.500 0.500
F 0.000 0.500 0.000
N 0.000 0.000 0.500
F 0.500 0.000 0.000
CELL_PARAMETERS angstrom
3.954 0.000 0.000
0.000 3.954 0.000
0.000 0.000 2.779
! Energy above the lowest structure with this stoichiometry (meV/atom): 0

=====

! PBE-GGA MgHNF2, relaxed; values from VASP
&SYSTEM
  ibrav = 0, nat = 5, ntyp = 4
/
ATOMIC_SPECIES
F 19.00 F.upf
Mg 24.30 Mg.upf
N 14.01 N.upf
H 1.01 H.upf
ATOMIC_POSITIONS crystal
F 0.500 0.000 0.000
Mg 0.000 0.000 0.000
F 0.000 0.500 0.000
N 0.000 0.000 0.500
H 0.500 0.500 0.500
CELL_PARAMETERS angstrom
-0.751 -1.029 3.665
0.176 -3.741 -1.014
5.014 -0.039 1.016
! Energy above the lowest structure with this stoichiometry (meV/atom): 196

=====

! PBE-GGA Mg2HNF, relaxed; values from VASP
&SYSTEM
  ibrav = 0, nat = 5, ntyp = 4
/
ATOMIC_SPECIES
N 14.01 N.upf
F 19.00 F.upf
Mg 24.30 Mg.upf
H 1.01 H.upf
ATOMIC_POSITIONS crystal
N 0.000 0.000 0.000
F 0.000 0.500 0.000
Mg 0.000 0.000 0.500
Mg 0.500 0.000 0.000
H 0.500 0.500 0.500
CELL_PARAMETERS angstrom
4.075 0.000 0.000
0.000 4.055 0.000
0.000 0.000 4.075
! Calculated total energy (eV/atom): -3.58

=====

! PBE-GGA Na2MgH3F, relaxed; values from VASP
&SYSTEM
  ibrav = 0, nat = 7, ntyp = 4
/
ATOMIC_SPECIES
Na 22.99 Na.upf
Mg 24.30 Mg.upf
H 1.01 H.upf
F 19.00 F.upf
ATOMIC_POSITIONS crystal
Na 0.649 0.649 0.298
Mg 0.000 0.000 0.000
H 0.834 0.834 0.668
H 0.000 0.500 0.000
Na 0.351 0.351 0.702
F 0.500 0.000 0.000
H 0.166 0.166 0.332
CELL_PARAMETERS angstrom
3.984 0.000 0.000
0.000 3.789 0.000
-1.992 -1.895 5.973
! Calculated total energy (eV/atom): -3.21

=====

! PBE-GGA MgHO2F, relaxed; values from VASP
&SYSTEM
  ibrav = 0, nat = 5, ntyp = 4
/
ATOMIC_SPECIES
Mg 24.30 Mg.upf
O 16.00 O.upf
H 1.01 H.upf
F 19.00 F.upf
ATOMIC_POSITIONS crystal
Mg 0.000 0.000 0.000
O 0.000 0.500 0.000
H 0.500 0.500 0.500
O 0.500 0.000 0.000
F 0.000 0.000 0.500
CELL_PARAMETERS angstrom
-2.615 2.325 2.198
-3.029 -2.712 -0.735
0.955 -1.928 3.175
! Calculated total energy (eV/atom): -3.75

=====

! PBE-GGA MgH2OF2, relaxed; values from VASP
&SYSTEM
  ibrav = 0, nat = 12, ntyp = 4
/
ATOMIC_SPECIES
Mg 24.30 Mg.upf
H 1.01 H.upf
O 16.00 O.upf
F 19.00 F.upf
ATOMIC_POSITIONS crystal
Mg 0.874 0.326 0.000
H 0.849 0.733 0.804
H 0.849 0.930 0.196
O 0.253 0.090 0.000
Mg 0.374 0.674 0.000
H 0.349 0.070 0.804
F 0.575 0.577 0.314
O 0.753 0.910 0.000
F 0.075 0.423 0.686
H 0.349 0.267 0.196
F 0.075 0.737 0.314
F 0.575 0.263 0.686
CELL_PARAMETERS angstrom
5.150 0.000 0.000
0.000 5.039 0.000
0.000 -2.520 3.935
! Calculated total energy (eV/atom): -4.96

=====

! PBE-GGA MgHO2F, relaxed; values from VASP
&SYSTEM
  ibrav = 0, nat = 5, ntyp = 4
/
ATOMIC_SPECIES
O 16.00 O.upf
Mg 24.30 Mg.upf
H 1.01 H.upf
F 19.00 F.upf
ATOMIC_POSITIONS crystal
O 0.500 0.000 0.000
O 0.000 0.500 0.000
Mg 0.500 0.500 0.500
H 0.000 0.000 0.000
F 0.000 0.000 0.500
CELL_PARAMETERS angstrom
-2.238 0.663 1.917
0.124 -2.804 1.115
2.870 1.283 2.907
! Calculated total energy (eV/atom): -4.23

=====

! PBE-GGA MgSiH12O6F6, relaxed; values from VASP
&SYSTEM
  ibrav = 0, nat = 52, ntyp = 5
/
ATOMIC_SPECIES
F 19.00 F.upf
H 1.01 H.upf
O 16.00 O.upf
Si 28.09 Si.upf
Mg 24.30 Mg.upf
ATOMIC_POSITIONS crystal
F 0.724 0.535 0.903
H 0.377 0.140 0.104
O 0.939 0.727 0.461
F 0.447 0.184 0.548
O 0.266 0.548 0.377
F 0.634 0.586 0.144
H 0.806 0.263 0.030
O 0.734 0.452 0.623
H 0.749 0.467 0.265
H 0.194 0.737 0.970
H 0.271 0.523 0.277
O 0.176 0.594 0.672
F 0.634 0.086 0.356
O 0.824 0.906 0.172
Si 0.500 0.000 0.500
H 0.729 0.977 0.777
F 0.366 0.414 0.856
F 0.366 0.914 0.644
H 0.247 0.206 0.828
H 0.271 0.023 0.223
Si 0.500 0.500 0.000
O 0.734 0.952 0.877
H 0.251 0.533 0.735
H 0.729 0.477 0.723
H 0.806 0.763 0.470
F 0.553 0.816 0.452
O 0.824 0.406 0.328
H 0.753 0.794 0.172
F 0.276 0.465 0.097
H 0.956 0.681 0.933
F 0.276 0.965 0.403
O 0.266 0.048 0.123
H 0.623 0.360 0.604
H 0.044 0.319 0.067
O 0.176 0.094 0.828
Mg 0.000 0.500 0.500
F 0.447 0.684 0.952
H 0.194 0.237 0.530
H 0.623 0.860 0.896
F 0.553 0.316 0.048
H 0.251 0.033 0.765
O 0.939 0.227 0.039
O 0.061 0.273 0.539
H 0.956 0.181 0.567
F 0.724 0.035 0.597
H 0.749 0.967 0.235
Mg 0.000 0.000 0.000
H 0.377 0.640 0.396
O 0.061 0.773 0.961
H 0.753 0.294 0.328
H 0.044 0.819 0.433
H 0.247 0.706 0.672
CELL_PARAMETERS angstrom
6.551 0.002 0.000
-1.513 8.344 0.000
0.000 0.000 9.572
! Calculated total energy (eV/atom): -5.15

=====

! PBE-GGA MgZr2H12O4F12, relaxed; values from VASP
&SYSTEM
  ibrav = 0, nat = 31, ntyp = 5
/
ATOMIC_SPECIES
H 1.01 H.upf
F 19.00 F.upf
Zr 91.22 Zr.upf
Mg 24.30 Mg.upf
O 16.00 O.upf
ATOMIC_POSITIONS crystal
H 0.372 0.883 0.135
H 0.877 0.364 0.589
F 0.653 0.705 0.138
F 0.033 0.378 0.428
Zr 0.039 0.961 0.000
F 0.380 0.037 0.963
H 0.636 0.123 0.411
H 0.226 0.494 0.793
F 0.622 0.967 0.572
Mg 0.508 0.492 0.000
O 0.221 0.626 0.747
F 0.896 0.073 0.804
H 0.506 0.774 0.207
Zr 0.967 0.033 0.500
F 0.295 0.347 0.862
F 0.326 0.266 0.274
F 0.003 0.825 0.330
H 0.770 0.500 0.667
H 0.226 0.617 0.322
F 0.963 0.620 0.037
O 0.374 0.779 0.253
H 0.383 0.774 0.678
O 0.636 0.232 0.295
H 0.500 0.230 0.333
H 0.782 0.389 0.211
H 0.117 0.628 0.865
F 0.175 0.997 0.670
H 0.611 0.218 0.789
O 0.768 0.364 0.705
F 0.927 0.104 0.196
F 0.734 0.674 0.726
CELL_PARAMETERS angstrom
0.320 -6.809 -3.363
4.396 1.992 5.872
-2.626 -4.015 4.985
! Calculated total energy (eV/atom): -5.26

=====

! PBE-GGA MgZr2H12O4F12, relaxed; values from VASP
&SYSTEM
  ibrav = 0, nat = 31, ntyp = 5
/
ATOMIC_SPECIES
O 16.00 O.upf
H 1.01 H.upf
F 19.00 F.upf
Zr 91.22 Zr.upf
Mg 24.30 Mg.upf
ATOMIC_POSITIONS crystal
O 0.720 0.025 0.383
H 0.403 0.081 0.759
H 0.178 0.857 0.625
O 0.269 0.984 0.617
H 0.498 0.481 0.670
F 0.402 0.735 0.973
H 0.549 0.012 0.330
F 0.609 0.223 0.985
F 0.029 0.702 0.632
F 0.305 0.479 0.300
Zr 0.060 0.745 0.948
F 0.168 0.071 0.978
F 0.737 0.030 0.704
F 0.317 0.935 0.294
H 0.334 0.532 0.775
F 0.065 0.413 0.876
H 0.758 0.041 0.579
F 0.711 0.565 0.717
F 0.922 0.607 0.128
H 0.783 0.573 0.420
F 0.855 0.934 0.055
F 0.964 0.309 0.347
O 0.344 0.421 0.665
Mg 0.713 0.767 0.160
H 0.303 0.954 0.496
H 0.197 0.379 0.526
O 0.642 0.538 0.279
H 0.805 0.154 0.379
Zr 0.958 0.258 0.043
H 0.458 0.506 0.293
H 0.630 0.402 0.172
CELL_PARAMETERS angstrom
6.864 0.018 0.004
-0.966 6.889 -0.020
-3.298 -2.580 6.364
! Calculated total energy (eV/atom): -5.26

=====

! PBE-GGA MgHOsF2, relaxed; values from VASP
&SYSTEM
  ibrav = 0, nat = 5, ntyp = 4
/
ATOMIC_SPECIES
H 1.01 H.upf
F 19.00 F.upf
Mg 24.30 Mg.upf
Os 190.23 Os.upf
ATOMIC_POSITIONS crystal
H 0.000 0.000 0.000
F 0.000 0.000 0.500
Mg 0.500 0.500 0.500
Os 0.000 0.500 0.000
F 0.500 0.000 0.000
CELL_PARAMETERS angstrom
4.236 0.000 0.000
0.000 3.447 0.000
0.000 0.000 4.236
! Calculated total energy (eV/atom): -4.12

=====

Number 1: volume 13.16 Å³ per atom. Number 2: volume 8.69 Å³ per atom. Number 3: volume 15.40 Å³ per atom. Number 4: volume 13.46 Å³ per atom. Number 5: volume 12.88 Å³ per atom. Number 6: volume 13.10 Å³ per atom. Number 7: volume 8.51 Å³ per atom. Number 8: volume 7.81 Å³ per atom. Number 9: volume 10.06 Å³ per atom. Number 10: volume 9.89 Å³ per atom. Number 11: volume 9.70 Å³ per atom. Number 12: volume 12.37 Å³ per atom.